Run 1
Compound: TaTcAs2
Source: the Alexandria database
Functional: SCAN
Structure: single point on PBEsol structure

Lattice parameters (Å, degrees): 3.207 3.974 5.021 90.00 90.00 90.00
Sites, in units of the cell vectors:
Ta  0.000  0.000  0.000
Tc  0.500  0.000  0.500
As  0.000  0.500  0.500
As  0.500  0.500  0.000

Properties
Total magnetization = 0.00 Bohr magnetons per cell
Symmetry = Pmmm
Fermi-level density of states = 3.3 states/eV/f.u.

---

Run 2
Compound: TaTcAs2
Source: the Alexandria database
Functional: SCAN
Structure: single point on PBEsol structure

Lattice parameters (Å, degrees): 4.480 4.480 4.480 60.00 60.00 60.00
Sites, in units of the cell vectors:
Ta  0.000  0.000  0.000
Tc  0.750  0.750  0.750
As  0.250  0.250  0.250
As  0.500  0.500  0.500

Properties
Total magnetization = 0.00 Bohr magnetons per cell
Symmetry = F-43m
Fermi-level density of states = 4.2 states/eV/f.u.

---

Stability ranking, top and bottom: run 1 is the most stable and run 2 is the least stable.

---

Run 1
Compound: Ta2TlAs
Source: the Alexandria database
Functional: SCAN
Structure: single point on PBEsol structure

Lattice parameters (Å, degrees): 2.848 2.848 10.338 90.00 90.00 90.00
Sites, in units of the cell vectors:
Ta  0.000  0.000  0.000
Ta  0.500  0.500  0.216
Tl  0.000  0.000  0.470
As  0.500  0.500  0.806

Properties
Total magnetization = 0.00 Bohr magnetons per cell
Symmetry = P4mm
Fermi-level density of states = 2.8 states/eV/f.u.

---

Run 2
Compound: Ta2TlAs
Source: the Alexandria database
Functional: SCAN
Structure: single point on PBEsol structure

Lattice parameters (Å, degrees): 2.905 2.905 10.327 90.00 90.00 106.84
Sites, in units of the cell vectors:
Ta  0.000  0.000  0.000
Ta  0.500  0.500  0.213
Tl  0.500  0.500  0.744
As  0.000  0.000  0.405

Properties
Total magnetization = 0.00 Bohr magnetons per cell
Symmetry = Cmm2
Fermi-level density of states = 2.7 states/eV/f.u.

---

Run 3
Compound: Ta2TlAs
Source: the Alexandria database
Functional: SCAN
Structure: single point on PBEsol structure

Lattice parameters (Å, degrees): 3.033 3.033 8.622 90.00 90.00 111.31
Sites, in units of the cell vectors:
Ta  0.000  0.000  0.222
Ta  0.000  0.000  0.778
Tl  0.500  0.500  0.500
As  0.500  0.500  0.000

Properties
Total magnetization = 0.00 Bohr magnetons per cell
Symmetry = Cmmm
Fermi-level density of states = 1.8 states/eV/f.u.

---

Stability ranking, top and bottom: run 2 is the most stable and run 3 is the least stable.